Below is crystalline TbCe3Pr2Sb6 at its relaxed geometry, with properties calculated at the PBE level.

Geometry as POSCAR:
```
TbCe3Pr2Sb6
1.0
-1.6333 4.0044 -6.4923
1.5259 -7.6392 -0.4088
-7.1163 -0.2633 3.1916
Pr Ce Sb Tb
2 3 6 1
Direct
0.3341 0.6659 0.0000 Pr
0.6659 0.3341 0.0000 Pr
0.5000 0.5000 0.5000 Ce
0.1688 0.8312 0.5000 Ce
0.8312 0.1688 0.5000 Ce
0.7571 0.7571 0.2535 Sb
0.4113 0.0833 0.2510 Sb
0.5887 0.9167 0.7490 Sb
0.0833 0.4113 0.2510 Sb
0.2429 0.2429 0.7465 Sb
0.9167 0.5887 0.7490 Sb
0.0000 0.0000 0.0000 Tb
```

Values from the calculation:
* total energy: -70.06 eV/cell
* E_form (uncorrected): -1.11 eV/atom